# 1
{
  "formula": "Y4Ru3",
  "functional": "PBE",
  "state": "relaxed",
  "lattice": [[4.686, 0.000, 1.397], [2.135, 4.172, 1.397], [0.135, 0.083, 8.105]],
  "species": ["Ru", "Ru", "Ru", "Y", "Y", "Y", "Y"],
  "fractional_positions": [[0.252, 0.252, 0.245], [0.748, 0.748, 0.755], [0.000, 0.000, 0.000], [0.874, 0.874, 0.377], [0.126, 0.126, 0.623], [0.376, 0.376, 0.871], [0.624, 0.624, 0.129]],
  "vol_a3_per_cell": 157,
  "total_magnetization_mub_per_cell": 0.00,
  "spacegroup": "R-3m, No. 166",
  "delta_e_f_mev_per_atom": -234.7,
  "total_energy_ev_per_atom": -7.90
}

=====

# 2
{
  "formula": "TmAgPtPb",
  "functional": "PBE",
  "state": "relaxed",
  "lattice": [[-4.217, 0.462, 2.525], [-0.162, -1.226, 4.779], [-0.447, 3.516, 3.436]],
  "species": ["Pb", "Tm", "Pt", "Ag"],
  "fractional_positions": [[0.500, 0.500, 0.500], [0.000, 0.000, 0.000], [0.750, 0.750, 0.750], [0.250, 0.250, 0.250]],
  "vol_a3_per_cell": 85,
  "total_magnetization_mub_per_cell": 0.00,
  "spacegroup": "F-43m, No. 216",
  "delta_e_f_mev_per_atom": -513.7,
  "total_energy_ev_per_atom": -4.78
}

=====

# 3
{
  "formula": "Cu2IrAu",
  "functional": "PBE",
  "state": "relaxed",
  "lattice": [[4.756, -0.029, 0.000], [1.705, 4.440, 0.000], [-3.231, -2.206, 2.705]],
  "species": ["Cu", "Cu", "Au", "Ir"],
  "fractional_positions": [[0.000, 0.000, 0.000], [0.250, 0.750, 0.500], [0.750, 0.250, 0.500], [0.500, 0.500, 0.000]],
  "vol_a3_per_cell": 57,
  "total_magnetization_mub_per_cell": 0.00,
  "spacegroup": "I-4m2, No. 119",
  "delta_e_f_mev_per_atom": 235.2,
  "total_energy_ev_per_atom": -4.85
}

=====

# 4
{
  "formula": "U5CS4",
  "functional": "PBE",
  "state": "relaxed",
  "lattice": [[3.773, 0.000, -0.532], [-0.075, 3.773, -0.532], [-0.003, -0.003, 13.631]],
  "species": ["C", "U", "U", "U", "U", "U", "S", "S", "S", "S"],
  "fractional_positions": [[0.000, 0.000, 0.000], [0.910, 0.910, 0.819], [0.701, 0.701, 0.403], [0.299, 0.299, 0.597], [0.500, 0.500, 0.000], [0.090, 0.090, 0.181], [0.399, 0.399, 0.799], [0.601, 0.601, 0.201], [0.805, 0.805, 0.609], [0.195, 0.195, 0.391]],
  "raw_formation_energy_ev_per_fu": -10.8,
  "vol_a3_per_cell": 194,
  "total_magnetization_mub_per_cell": 9.71,
  "spacegroup": "I4/mmm, No. 139",
  "total_energy_ev_per_atom": -9.29
}

=====

# 5
{
  "formula": "La2ZrRe",
  "functional": "PBE",
  "state": "relaxed",
  "lattice": [[5.006, 0.003, 0.000], [-1.013, 4.902, 0.000], [-1.997, -2.453, 3.880]],
  "species": ["La", "La", "Re", "Zr"],
  "fractional_positions": [[0.250, 0.750, 0.500], [0.000, 0.000, 0.000], [0.500, 0.500, 0.000], [0.750, 0.250, 0.500]],
  "vol_a3_per_cell": 95,
  "total_magnetization_mub_per_cell": 0.00,
  "spacegroup": "I-4m2, No. 119",
  "delta_e_f_mev_per_atom": 359.9,
  "total_energy_ev_per_atom": -7.35
}

=====

# 6
{
  "formula": "PmSmThGa",
  "functional": "PBE",
  "state": "relaxed",
  "lattice": [[5.426, 0.000, 0.000], [2.713, 4.699, 0.000], [2.713, 1.566, 4.430]],
  "species": ["Sm", "Ga", "Th", "Pm"],
  "fractional_positions": [[0.500, 0.500, 0.500], [0.250, 0.250, 0.250], [0.000, 0.000, 0.000], [0.750, 0.750, 0.750]],
  "vol_a3_per_cell": 113,
  "total_magnetization_mub_per_cell": 0.00,
  "spacegroup": "F-43m, No. 216",
  "delta_e_f_mev_per_atom": -25.2,
  "total_energy_ev_per_atom": -5.00
}

=====

# 7
{
  "formula": "Y2BeH2",
  "functional": "PBE",
  "state": "relaxed",
  "lattice": [[-2.485, 0.807, 6.719], [-6.667, -1.518, -2.283], [0.480, -2.899, 0.526]],
  "species": ["H", "H", "H", "H", "Y", "Y", "Y", "Y", "Be", "Be"],
  "fractional_positions": [[0.611, 0.889, 0.500], [0.889, 0.389, 0.500], [0.389, 0.111, 0.500], [0.111, 0.611, 0.500], [0.332, 0.832, 0.000], [0.168, 0.332, 0.000], [0.668, 0.168, 0.000], [0.832, 0.668, 0.000], [0.500, 0.500, 0.000], [0.000, 0.000, 0.000]],
  "vol_a3_per_cell": 155,
  "total_magnetization_mub_per_cell": 0.00,
  "spacegroup": "P4/mbm, No. 127",
  "total_energy_ev_per_atom": -4.40
}

=====

# 8
{
  "formula": "ZnGaMo",
  "functional": "PBE",
  "state": "relaxed",
  "lattice": [[-2.488, 1.829, -3.142], [-3.931, -2.911, 1.418], [1.151, 4.630, 1.783]],
  "species": ["Ga", "Ga", "Zn", "Zn", "Mo", "Mo"],
  "fractional_positions": [[0.250, 0.239, 0.101], [0.750, 0.899, 0.761], [0.750, 0.245, 0.430], [0.250, 0.570, 0.755], [0.250, 0.901, 0.420], [0.750, 0.580, 0.099]],
  "vol_a3_per_cell": 92,
  "total_magnetization_mub_per_cell": 0.00,
  "spacegroup": "Ama2, No. 40",
  "delta_e_f_mev_per_atom": 56.6,
  "total_energy_ev_per_atom": -4.99
}

=====

# 9
{
  "formula": "LiCuOs2",
  "functional": "PBE",
  "state": "relaxed",
  "lattice": [[-2.083, -3.336, -1.482], [0.984, -1.590, -3.765], [1.922, -3.728, -0.269]],
  "species": ["Os", "Os", "Li", "Cu"],
  "fractional_positions": [[0.250, 0.250, 0.250], [0.000, 0.000, 0.000], [0.750, 0.750, 0.750], [0.500, 0.500, 0.500]],
  "vol_a3_per_cell": 53,
  "total_magnetization_mub_per_cell": 0.00,
  "spacegroup": "F-43m, No. 216",
  "delta_e_f_mev_per_atom": 198.4,
  "total_energy_ev_per_atom": -6.92
}

=====

# 10
{
  "formula": "RbB4Pb3O12",
  "functional": "PBE",
  "state": "relaxed",
  "lattice": [[6.638, 0.147, 0.204], [-1.457, 6.478, 0.204], [-1.457, -1.863, 6.207]],
  "species": ["B", "B", "B", "B", "O", "O", "O", "O", "O", "O", "O", "O", "O", "O", "O", "O", "Pb", "Pb", "Pb", "Rb"],
  "fractional_positions": [[0.500, 0.960, 0.040], [0.040, 0.500, 0.960], [0.960, 0.040, 0.500], [0.500, 0.500, 0.500], [0.365, 0.635, 0.500], [0.796, 0.985, 0.588], [0.635, 0.500, 0.365], [0.100, 0.900, 0.500], [0.985, 0.588, 0.796], [0.015, 0.204, 0.412], [0.500, 0.365, 0.635], [0.204, 0.412, 0.015], [0.500, 0.100, 0.900], [0.412, 0.015, 0.204], [0.900, 0.500, 0.100], [0.588, 0.796, 0.985], [0.535, 0.465, 0.000], [0.465, 0.000, 0.535], [0.000, 0.535, 0.465], [0.000, 0.000, 0.000]],
  "raw_formation_energy_ev_per_fu": -33.8,
  "vol_a3_per_cell": 273,
  "total_magnetization_mub_per_cell": 0.00,
  "spacegroup": "R32, No. 155",
  "total_energy_ev_per_atom": -6.60
}

=====

# 11
{
  "formula": "SrIn2HgIr",
  "functional": "PBE",
  "state": "relaxed",
  "lattice": [[-2.766, 0.600, -4.344], [3.249, -3.169, -2.507], [-3.310, -4.564, 1.478]],
  "species": ["In", "In", "Sr", "Hg", "Ir"],
  "fractional_positions": [[0.500, 0.000, 0.000], [0.000, 0.500, 0.000], [0.000, 0.000, 0.500], [0.500, 0.500, 0.500], [0.000, 0.000, 0.000]],
  "vol_a3_per_cell": 157,
  "total_magnetization_mub_per_cell": 0.00,
  "spacegroup": "P4/mmm, No. 123",
  "delta_e_f_mev_per_atom": -260.3,
  "total_energy_ev_per_atom": -3.52
}

=====

# 12
{
  "formula": "BeGaO3",
  "functional": "PBE",
  "state": "relaxed",
  "lattice": [[-2.524, 0.109, -2.745], [-1.053, -3.482, 0.830], [-2.538, 1.336, 2.387]],
  "species": ["O", "O", "O", "Ga", "Be"],
  "fractional_positions": [[0.000, 0.000, 0.500], [0.000, 0.500, 0.000], [0.500, 0.000, 0.000], [0.000, 0.000, 0.000], [0.500, 0.500, 0.500]],
  "raw_formation_energy_ev_per_fu": -2.2,
  "vol_a3_per_cell": 52,
  "total_magnetization_mub_per_cell": 1.00,
  "spacegroup": "Pm-3m, No. 221",
  "total_energy_ev_per_atom": -4.76
}

=====

- Which formula does entry 12 have?
  BeGaO3

=====

Copy entry 11 word for word.
{
  "formula": "SrIn2HgIr",
  "functional": "PBE",
  "state": "relaxed",
  "lattice": [[-2.766, 0.600, -4.344], [3.249, -3.169, -2.507], [-3.310, -4.564, 1.478]],
  "species": ["In", "In", "Sr", "Hg", "Ir"],
  "fractional_positions": [[0.500, 0.000, 0.000], [0.000, 0.500, 0.000], [0.000, 0.000, 0.500], [0.500, 0.500, 0.500], [0.000, 0.000, 0.000]],
  "vol_a3_per_cell": 157,
  "total_magnetization_mub_per_cell": 0.00,
  "spacegroup": "P4/mmm, No. 123",
  "delta_e_f_mev_per_atom": -260.3,
  "total_energy_ev_per_atom": -3.52
}